A geometry-optimized Tb6DyY8 structure. Source: Alexandria, functional PBE.

* space group: R-3
* energy of formation: 2.74 eV per formula unit
* N(E_F): 21.03 states/eV/cell
* energy relative to the lowest polymorph listed for this composition: 55.4 meV per atom

a = 8.1641 Å, b = 8.1641 Å, c = 8.1641 Å
α = 73.13°, β = 73.13°, γ = 73.13°
Sites, in units of the cell vectors:
Tb 0.1114 0.5707 0.7846
Tb 0.2154 0.8886 0.4293
Tb 0.4293 0.2154 0.8886
Tb 0.5707 0.7846 0.1114
Tb 0.7846 0.1114 0.5707
Tb 0.8886 0.4293 0.2154
Dy 0.5000 0.5000 0.5000
Y 0.0871 0.0871 0.0871
Y 0.1442 0.2701 0.5726
Y 0.2701 0.5726 0.1442
Y 0.4274 0.8558 0.7299
Y 0.5726 0.1442 0.2701
Y 0.7299 0.4274 0.8558
Y 0.8558 0.7299 0.4274
Y 0.9129 0.9129 0.9129

---

A geometry-optimized ZrAs3F structure. Source: Alexandria, functional PBE.

* space group: Pm-3m
* ΔE_f (raw): 0.04 eV/atom
* N(E_F): 2.41 states/eV/cell
* energy relative to the lowest polymorph listed for this composition: 227.9 meV per atom

a = 5.1450 Å, b = 5.1450 Å, c = 5.1450 Å
α = 90.00°, β = 90.00°, γ = 90.00°
Sites, in units of the cell vectors:
Zr 0.0000 0.0000 0.0000
As 0.0000 0.0000 0.5000
As 0.0000 0.5000 0.0000
As 0.5000 0.0000 0.0000
F 0.5000 0.5000 0.5000

---

A geometry-optimized Na3HoTm2Te6 structure. Source: Alexandria, functional PBE.

* space group: C2/m
* ΔE_f (raw): -1.30 eV/atom

a = 7.6091 Å, b = 7.6091 Å, c = 7.9785 Å
α = 99.15°, β = 99.15°, γ = 120.00°
Sites, in units of the cell vectors:
Na 0.0000 0.0000 0.0000
Na 0.3337 0.6663 0.0000
Na 0.6663 0.3337 0.0000
Ho 0.5000 0.5000 0.5000
Tm 0.1667 0.8333 0.5000
Tm 0.8333 0.1667 0.5000
Te 0.0882 0.4234 0.2703
Te 0.2414 0.2414 0.7298
Te 0.4234 0.0882 0.2703
Te 0.5766 0.9118 0.7297
Te 0.7586 0.7586 0.2702
Te 0.9118 0.5766 0.7297